# 1
VASP calculation (PBE) on a relaxed Ac2CeAs3Pt4 crystal.

As for the formation enthalpy at 0 K: -0.942 eV/atom. As for the size of the total moment: 0.80 μB per cell.

Unit cell a=4.430 b=4.430 c=11.504 alpha=90.00 beta=90.00 gamma=90.00
Space group P-4m2 (No. 115)
One atom of each set of equivalent atoms:
Ac (0.000, 0.500, 0.221) [2 per cell]
Ce (0.000, 0.000, 0.500) [1 per cell]
As (0.000, 0.500, 0.881) [2 per cell]
As (0.500, 0.500, 0.500) [1 per cell]
Pt (0.000, 0.000, 0.000) [1 per cell]
Pt (0.000, 0.500, 0.663) [2 per cell]
Pt (0.500, 0.500, 0.000) [1 per cell]


# 2
VASP calculation (PBE) on a relaxed CsAcPt4 crystal.

As for the formation enthalpy at 0 K: -0.541 eV/atom. As for the size of the total moment: 0.00 μB per cell.

Unit cell a=8.036 b=8.036 c=8.036 alpha=90.00 beta=90.00 gamma=90.00
Space group F-43m (No. 216)
One atom of each set of equivalent atoms:
Cs (0.000, 0.000, 0.000) [4 per cell]
Ac (0.250, 0.250, 0.750) [4 per cell]
Pt (0.125, 0.125, 0.375) [16 per cell]


# 3
VASP calculation (PBE) on a relaxed Tl4InHg2Pb2 crystal.

As for the formation enthalpy at 0 K: 0.013 eV/atom. As for the size of the total moment: 0.00 μB per cell.

Unit cell a=6.097 b=6.583 c=6.752 alpha=93.10 beta=97.67 gamma=96.40
Space group P-1 (No. 2)
One atom of each set of equivalent atoms:
Tl (0.148, 0.293, 0.433) [2 per cell]
Tl (0.228, 0.057, 0.888) [2 per cell]
In (0.000, 0.500, 0.000) [1 per cell]
Hg (0.423, 0.609, 0.798) [2 per cell]
Pb (0.320, 0.819, 0.347) [2 per cell]


# 4
VASP calculation (PBE) on a relaxed FeSiGe3 crystal.

As for the size of the total moment: 0.81 μB per cell. For the uncorrected formation energy, the calculation gives 0.48 eV per atom. The calculation puts the relative energy among the computed polymorphs at 0 meV per atom.

Unit cell a=4.555 b=4.555 c=4.555 alpha=90.00 beta=90.00 gamma=90.00
Space group Pm-3m (No. 221)
One atom of each set of equivalent atoms:
Fe (0.000, 0.000, 0.000) [1 per cell]
Si (0.500, 0.500, 0.500) [1 per cell]
Ge (0.000, 0.000, 0.500) [3 per cell]


# 5
VASP calculation (PBE) on a relaxed Ac2Tb4Tm crystal.

As for the formation enthalpy at 0 K: 0.096 eV/atom. As for the size of the total moment: 0.00 μB per cell.

Unit cell a=3.634 b=37.583 c=3.647 alpha=90.00 beta=90.00 gamma=90.00
Space group Cmmm (No. 65)
One atom of each set of equivalent atoms:
Ac (0.000, 0.204, 0.000) [4 per cell]
Tb (0.000, 0.064, 0.000) [4 per cell]
Tb (0.000, 0.370, 0.500) [4 per cell]
Tm (0.000, 0.500, 0.500) [2 per cell]


# 6
VASP calculation (PBE) on a relaxed K2BaAs2S6 crystal.

As for the size of the total moment: 0.00 μB per cell. For the uncorrected formation energy, the calculation gives -0.76 eV per atom.

Unit cell a=11.852 b=7.844 c=8.629 alpha=90.00 beta=112.52 gamma=90.00
Space group C2/m (No. 12)
One atom of each set of equivalent atoms:
K (0.193, 0.000, 0.136) [4 per cell]
Ba (0.000, 0.000, 0.500) [2 per cell]
As (0.030, 0.500, 0.365) [4 per cell]
S (0.056, 0.276, 0.784) [8 per cell]
S (0.225, 0.500, 0.467) [4 per cell]